Entry from Alexandria: a geometry-optimized Mg5PaN5 structure (GGA-PBE).

Cell lengths 10.5640, 4.4703, 6.4751 Å; angles 90.00, 109.42, 90.00 degrees
Last column: nearest neighbours and their distance in Å.
Space group C2/m (No. 12)
One atom of each set of equivalent atoms:
Mg 0.0000 0.0000 0.0000 [2 per cell]  4 N 2.17-2.37
Mg 0.1840 0.5000 0.3567 [4 per cell]  5 N 2.22-2.42
Mg 0.1990 0.5000 0.8379 [4 per cell]  4 N 2.10-2.26
Pa 0.0000 0.0000 0.5000 [2 per cell]  6 N 2.24-2.32
N 0.0000 0.5000 0.5000 [2 per cell]  2 Pa 2.24, 4 Mg 2.42-2.48
N 0.1555 0.0000 0.3187 [4 per cell]  5 Mg 2.10-2.26, 1 Pa 2.32
N 0.1680 0.0000 0.8325 [4 per cell]  5 Mg 2.13-2.37, 1 Pa 2.29

Calculated values
ΔE_f (raw) = -962 meV/atom
Total moment = 0.000 μB/cell
N(E_F) = 0.148 states/eV per atom

=====

Entry from Alexandria: a geometry-optimized ZnGe2Ir structure (GGA-PBE).

Cell lengths 3.1348, 3.1348, 25.3480 Å; angles 90.00, 90.00, 120.00 degrees
Last column: nearest neighbours and their distance in Å.
Space group R-3m (No. 166, hexagonal axes)
One atom of each set of equivalent atoms:
Zn 0.0000 0.0000 0.0000 [3 per cell]  2 Ge 2.43
Ge 0.0000 0.0000 0.0958 [6 per cell]  1 Zn 2.43, 3 Ir 2.55
Ir 0.0000 0.0000 0.5000 [3 per cell]  6 Ge 2.55

Calculated values
Formation energy = 0.9 kcal/mol of atoms
Total moment = 0.000 μB/cell
N(E_F) = 0.426 states/eV per atom

=====

Entry from Alexandria: a geometry-optimized CoMo2Cl structure (GGA-PBE).

Cell lengths 5.3675, 5.3675, 10.5508 Å; angles 90.00, 90.00, 90.00 degrees
Last column: nearest neighbours and their distance in Å.
Space group I-42d (No. 122)
One atom of each set of equivalent atoms:
Co 0.0000 0.0000 0.0000 [4 per cell]  4 Mo 2.24
Mo 0.2278 0.2500 0.1250 [8 per cell]  2 Co 2.24, 2 Cl 2.38
Cl 0.0000 0.0000 0.5000 [4 per cell]  4 Mo 2.38

Calculated values
ΔE_f (raw) = 975 meV/atom
ΔE to the lowest computed polymorph = 696.8 meV/atom
Total moment = 0.000 μB/cell
N(E_F) = 0.852 states/eV per atom

=====

Entry from Alexandria: a geometry-optimized TaReH2 structure (GGA-PBE).

Cell lengths 4.2121, 4.2121, 8.7910 Å; angles 90.00, 90.00, 90.00 degrees
Last column: nearest neighbours and their distance in Å.
Space group I-42d (No. 122)
One atom of each set of equivalent atoms:
Ta 0.0000 0.0000 0.0000 [4 per cell]  4 H 1.90
Re 0.0000 0.0000 0.5000 [4 per cell]  4 H 1.81
H 0.2309 0.2500 0.6250 [8 per cell]  2 Re 1.81, 2 Ta 1.90

Calculated values
ΔE to the lowest computed polymorph = 0.0 meV/atom
Total moment = 0.000 μB/cell
N(E_F) = 0.615 states/eV per atom

=====

Entry from Alexandria: a geometry-optimized TlWN2 structure (GGA-PBE).

Cell lengths 5.7588, 5.7588, 9.3152 Å; angles 90.00, 90.00, 90.00 degrees
Last column: nearest neighbours and their distance in Å.
Space group I-42d (No. 122)
One atom of each set of equivalent atoms:
Tl 0.0000 0.0000 0.0000 [4 per cell]  4 N 3.10
W 0.0000 0.0000 0.5000 [4 per cell]  4 N 1.89
N 0.0678 0.2500 0.6250 [8 per cell]  2 W 1.89

Calculated values
ΔE_f (raw) = -100 meV/atom
ΔE to the lowest computed polymorph = 0.0 meV/atom
Total moment = 0.000 μB/cell
N(E_F) = 0.462 states/eV per atom

=====

Entry from Alexandria: a geometry-optimized La6Bi3TeSe2 structure (GGA-PBE).

Cell lengths 19.8466, 4.5684, 9.0981 Å; angles 90.00, 102.97, 90.00 degrees
Last column: nearest neighbours and their distance in Å.
Space group C2/m (No. 12)
One atom of each set of equivalent atoms:
La 0.0066 0.0000 0.2540 [4 per cell]  1 Se 3.12, 3 Bi 3.22-3.29, 2 Te 3.23
La 0.1690 0.5000 0.0967 [4 per cell]  2 Se 3.15, 3 Bi 3.24-3.30, 1 Te 3.27
La 0.1713 0.5000 0.5739 [4 per cell]  3 Se 3.11-3.15, 3 Bi 3.30-3.31
Bi 0.0000 0.5000 0.5000 [2 per cell]  6 La 3.22-3.31
Bi 0.1635 0.0000 0.8320 [4 per cell]  6 La 3.24-3.30
Te 0.0000 0.5000 0.0000 [2 per cell]  6 La 3.23-3.27
Se 0.1680 0.0000 0.3341 [4 per cell]  6 La 3.11-3.15

Calculated values
ΔE_f (raw) = -1447 meV/atom
Total moment = 0.000 μB/cell
N(E_F) = 0.525 states/eV per atom

=====

Entry from Alexandria: a geometry-optimized YZrI3 structure (GGA-PBE).

Cell lengths 5.7050, 5.7050, 5.7050 Å; angles 90.00, 90.00, 90.00 degrees
Last column: nearest neighbours and their distance in Å.
Space group Pm-3m (No. 221)
One atom of each set of equivalent atoms:
Y 0.0000 0.0000 0.0000 [1 per cell]  12 I 4.03
Zr 0.5000 0.5000 0.5000 [1 per cell]  6 I 2.85
I 0.0000 0.5000 0.5000 [3 per cell]  2 Zr 2.85

Calculated values
ΔE_f (raw) = -27 meV/atom
ΔE to the lowest computed polymorph = 0.0 meV/atom
Total moment = 2.798 μB/cell
N(E_F) = 1.401 states/eV per atom

=====

Entry from Alexandria: a geometry-optimized LiAc3Ag2 structure (GGA-PBE).

Cell lengths 3.9983, 3.9983, 11.9463 Å; angles 90.00, 90.00, 90.00 degrees
Last column: nearest neighbours and their distance in Å.
Space group P4/mmm (No. 123)
One atom of each set of equivalent atoms:
Li 0.0000 0.0000 0.0000 [1 per cell]  8 Ac 3.52
Ac 0.5000 0.5000 0.1760 [2 per cell]  4 Ag 3.39, 4 Li 3.52
Ac 0.5000 0.5000 0.5000 [1 per cell]  8 Ag 3.47, 2 Ac 3.87
Ag 0.0000 0.0000 0.3321 [2 per cell]  8 Ac 3.39-3.47

Calculated values
Formation energy = -3.5 kcal/mol of atoms
ΔE to the lowest computed polymorph = 6.6 meV/atom
Total moment = 0.000 μB/cell
N(E_F) = 0.675 states/eV per atom

=====

Entry from Alexandria: a geometry-optimized CsSnP2O8 structure (GGA-PBE).

Cell lengths 5.1059, 5.1059, 9.0623 Å; angles 90.00, 90.00, 120.00 degrees
Last column: nearest neighbours and their distance in Å.
Space group P-3 (No. 147)
One atom of each set of equivalent atoms:
Cs 0.0000 0.0000 0.0000 [1 per cell]  6 O 3.21
Sn 0.0000 0.0000 0.5000 [1 per cell]  6 O 2.06
P 0.3333 0.6667 0.6908 [2 per cell]  4 O 1.53-1.55
O 0.0767 0.3547 0.6359 [6 per cell]  1 P 1.55
O 0.3333 0.6667 0.8595 [2 per cell]  1 P 1.53

Calculated values
ΔE_f (raw) = -1958 meV/atom
Total moment = 1.064 μB/cell
N(E_F) = 0.701 states/eV per atom

=====

Entry from Alexandria: a geometry-optimized InCu2Ag structure (GGA-PBE).

Cell lengths 7.2198, 7.2198, 5.4078 Å; angles 90.00, 90.00, 90.00 degrees
Last column: nearest neighbours and their distance in Å.
Space group I-42d (No. 122)
One atom of each set of equivalent atoms:
In 0.0000 0.0000 0.0000 [4 per cell]  4 Cu 2.66, 2 Ag 2.70
Cu 0.2451 0.2500 0.6250 [8 per cell]  2 Ag 2.62, 2 In 2.66, 2 Cu 2.70
Ag 0.0000 0.0000 0.5000 [4 per cell]  4 Cu 2.62, 2 In 2.70

Calculated values
Formation energy = 6.7 kcal/mol of atoms
Total moment = 0.000 μB/cell
N(E_F) = 0.281 states/eV per atom

=====

Entry from Alexandria: a geometry-optimized VAsRuSe2 structure (GGA-PBE).

Cell lengths 4.9869, 4.9869, 4.5264 Å; angles 90.00, 90.00, 90.00 degrees
Last column: nearest neighbours and their distance in Å.
Space group P4/mmm (No. 123)
One atom of each set of equivalent atoms:
V 0.0000 0.0000 0.0000 [1 per cell]  8 Se 3.37, 4 As 3.53
As 0.5000 0.5000 0.0000 [1 per cell]  2 Ru 2.26
Ru 0.5000 0.5000 0.5000 [1 per cell]  2 As 2.26, 4 Se 2.49
Se 0.0000 0.5000 0.5000 [2 per cell]  2 Ru 2.49

Calculated values
ΔE_f (raw) = 863 meV/atom
ΔE to the lowest computed polymorph = 142.4 meV/atom
Total moment = 0.285 μB/cell
N(E_F) = 1.337 states/eV per atom

=====

Entry from Alexandria: a geometry-optimized Ta2Al4Zn structure (GGA-PBE).

Cell lengths 4.7431, 4.7431, 13.0016 Å; angles 90.00, 90.00, 90.00 degrees
Last column: nearest neighbours and their distance in Å.
Space group I4/mmm (No. 139)
One atom of each set of equivalent atoms:
Ta 0.0000 0.0000 0.1023 [4 per cell]  1 Ta 2.66, 5 Al 2.72-2.75
Al 0.0000 0.0000 0.3135 [4 per cell]  1 Zn 2.42
Al 0.0000 0.5000 0.0000 [4 per cell]  2 Zn 2.37
Zn 0.0000 0.0000 0.5000 [2 per cell]  6 Al 2.37-2.42

Calculated values
Formation energy = 16.5 kcal/mol of atoms
Total moment = 0.000 μB/cell
N(E_F) = 0.359 states/eV per atom

=====

Volume list, top to bottom, in Å³ per atom: 13.11 17.98 19.00 9.75 19.31 33.49 37.14 31.83 17.05 17.62 22.51 20.89